LiFeCoO4 | the Alexandria database | PBEsol | relaxed; DOS at the Fermi energy = 8.1 states/eV/cell; E_form (uncorrected) = -1.44 eV/atom; symmetry = No. 74
1.0
-2.7736 2.8290 4.0027
2.7736 -2.8290 4.0027
2.7736 2.8290 -4.0027
Li Fe Co O
2 2 2 8
direct
0.3750 0.1250 0.2500
0.6250 0.8750 0.7500
0.0000 0.0000 0.5000
0.0000 0.5000 0.0000
0.0000 0.5000 0.5000
0.5000 0.5000 0.0000
0.2100 0.7353 0.4747
0.2330 0.2589 0.5260
0.2330 0.7070 0.9740
0.2393 0.2647 0.9747
0.7607 0.7353 0.0253
0.7670 0.2930 0.0260
0.7670 0.7411 0.4740
0.7900 0.2647 0.5253

---

TaOs3 | the Alexandria database | PBEsol | relaxed; DOS at the Fermi energy = 10.2 states/eV/cell; symmetry = No. 194; E_form = -115.1 meV per atom
1.0
5.5482 0.0000 0.0000
-2.7741 4.8049 0.0000
0.0000 0.0000 4.4237
Ta Os
2 6
direct
0.3333 0.6667 0.2500
0.6667 0.3333 0.7500
0.1653 0.3306 0.7500
0.1653 0.8347 0.7500
0.3306 0.1653 0.2500
0.6694 0.8347 0.7500
0.8347 0.1653 0.2500
0.8347 0.6694 0.2500